<a>
## Pr2Sm6Tm3 (PBE)

Data for Pr2Sm6Tm3 after structural relaxation.

Computed properties:
* N(E_F): 15.4 states/eV/cell
* mass density: 7.3 g cm⁻³

abc: 4.780 4.780 17.259
angles: 97.96 97.96 90.00
Sites, in units of the cell vectors:
Pr 0.454 0.454 0.908
Pr 0.546 0.546 0.092
Sm 0.123 0.623 0.246
Sm 0.623 0.123 0.246
Sm 0.877 0.377 0.754
Sm 0.377 0.877 0.754
Sm 0.699 0.699 0.398
Sm 0.301 0.301 0.602
Tm 0.000 0.000 0.000
Tm 0.800 0.800 0.601
Tm 0.200 0.200 0.399

---

<b>
## Pr2Sm6Tm3 (PBE)

Data for Pr2Sm6Tm3 after structural relaxation.

Computed properties:
* N(E_F): 16.2 states/eV/cell
* mass density: 7.3 g cm⁻³

abc: 6.182 6.188 11.785
angles: 84.93 79.81 60.03
Sites, in units of the cell vectors:
Pr 0.167 0.667 0.500
Pr 0.833 0.333 0.500
Sm 0.415 0.667 0.755
Sm 0.748 0.000 0.755
Sm 0.082 0.333 0.755
Sm 0.252 0.000 0.245
Sm 0.585 0.333 0.245
Sm 0.918 0.667 0.245
Tm 0.000 0.000 0.000
Tm 0.334 0.331 0.000
Tm 0.666 0.669 0.000

---

Referenced to the most stable arrangement, the calculated values in eV/atom are <a> 0.112; <b> 0.000.

---

<a>
## Pr5Sm4Tm2 (PBE)

Data for Pr5Sm4Tm2 after structural relaxation.

Computed properties:
* N(E_F): 17.3 states/eV/cell
* mass density: 7.2 g cm⁻³

abc: 3.516 8.933 12.301
angles: 83.04 98.22 90.00
Sites, in units of the cell vectors:
Pr 0.861 0.114 0.722
Pr 0.139 0.886 0.278
Pr 0.770 0.819 0.540
Pr 0.500 0.000 0.000
Pr 0.230 0.181 0.460
Sm 0.325 0.472 0.649
Sm 0.955 0.362 0.910
Sm 0.675 0.528 0.351
Sm 0.045 0.638 0.090
Tm 0.091 0.269 0.183
Tm 0.909 0.731 0.817

---

<b>
## Pr5Sm4Tm2 (PBE)

Data for Pr5Sm4Tm2 after structural relaxation.

Computed properties:
* N(E_F): 17.4 states/eV/cell
* mass density: 7.0 g cm⁻³

abc: 3.542 9.409 12.801
angles: 111.56 97.95 90.00
Sites, in units of the cell vectors:
Pr 0.849 0.055 0.698
Pr 0.849 0.643 0.698
Pr 0.151 0.357 0.302
Pr 0.151 0.945 0.302
Pr 0.500 0.000 0.000
Sm 0.000 0.304 0.000
Sm 0.596 0.596 0.193
Sm 0.000 0.696 0.000
Sm 0.404 0.404 0.807
Tm 0.270 0.270 0.540
Tm 0.730 0.730 0.460

---

Referenced to the most stable arrangement, the calculated values in eV/atom are <a> 0.000; <b> 0.078.

---

<a>
## PrSm2Tm9 (PBE)

Data for PrSm2Tm9 after structural relaxation.

Computed properties:
* N(E_F): 17.3 states/eV/cell
* mass density: 8.7 g cm⁻³

abc: 4.992 4.992 14.972
angles: 90.00 90.00 90.00
Sites, in units of the cell vectors:
Pr 0.000 0.000 0.000
Sm 0.000 0.000 0.334
Sm 0.000 0.000 0.666
Tm 0.500 0.500 0.000
Tm 0.500 0.500 0.334
Tm 0.500 0.500 0.666
Tm 0.500 0.000 0.168
Tm 0.500 0.000 0.500
Tm 0.500 0.000 0.832
Tm 0.000 0.500 0.168
Tm 0.000 0.500 0.500
Tm 0.000 0.500 0.832

---

<b>
## PrSm2Tm9 (PBE)

Data for PrSm2Tm9 after structural relaxation.

Computed properties:
* N(E_F): 17.9 states/eV/cell
* mass density: 8.6 g cm⁻³

abc: 3.504 11.153 11.153
angles: 120.00 90.00 90.00
Sites, in units of the cell vectors:
Pr 0.000 0.000 0.000
Sm 0.000 0.333 0.667
Sm 0.000 0.667 0.333
Tm 0.000 0.000 0.500
Tm 0.000 0.500 0.500
Tm 0.000 0.500 0.000
Tm 0.500 0.355 0.177
Tm 0.500 0.177 0.823
Tm 0.500 0.177 0.355
Tm 0.500 0.823 0.645
Tm 0.500 0.823 0.177
Tm 0.500 0.645 0.823

---

Referenced to the most stable arrangement, the calculated values in eV/atom are <a> 0.000; <b> 0.026.

---

<a>
## PrSm2Tm6 (PBE)

Data for PrSm2Tm6 after structural relaxation.

Computed properties:
* N(E_F): 14.6 states/eV/cell
* mass density: 8.5 g cm⁻³

abc: 3.517 9.665 9.665
angles: 120.00 90.00 90.00
Sites, in units of the cell vectors:
Pr 0.500 0.000 0.000
Sm 0.262 0.667 0.333
Sm 0.738 0.333 0.667
Tm 0.233 0.647 0.670
Tm 0.233 0.023 0.353
Tm 0.233 0.330 0.977
Tm 0.767 0.353 0.330
Tm 0.767 0.977 0.647
Tm 0.767 0.670 0.023

---

<b>
## PrSm2Tm6 (PBE)

Data for PrSm2Tm6 after structural relaxation.

Computed properties:
* N(E_F): 13.4 states/eV/cell
* mass density: 8.4 g cm⁻³

abc: 6.054 7.404 7.404
angles: 60.01 90.01 90.01
Sites, in units of the cell vectors:
Pr 0.000 0.000 0.000
Sm 0.790 0.667 0.667
Sm 0.210 0.333 0.333
Tm 0.301 0.374 0.813
Tm 0.301 0.813 0.813
Tm 0.301 0.813 0.374
Tm 0.699 0.626 0.187
Tm 0.699 0.187 0.187
Tm 0.699 0.187 0.626

---

Referenced to the most stable arrangement, the calculated values in eV/atom are <a> 0.000; <b> 0.163.

---

<a>
## Pr4Sm2Tm5 (PBE)

Data for Pr4Sm2Tm5 after structural relaxation.

Computed properties:
* N(E_F): 19.1 states/eV/cell
* mass density: 7.8 g cm⁻³

abc: 5.847 6.401 10.179
angles: 94.22 106.69 90.00
Sites, in units of the cell vectors:
Pr 0.308 0.927 0.615
Pr 0.964 0.736 0.929
Pr 0.692 0.073 0.385
Pr 0.036 0.264 0.071
Sm 0.402 0.453 0.803
Sm 0.598 0.547 0.197
Tm 0.785 0.607 0.569
Tm 0.215 0.393 0.431
Tm 0.868 0.152 0.736
Tm 0.500 0.000 0.000
Tm 0.132 0.848 0.264

---

<b>
## Pr4Sm2Tm5 (PBE)

Data for Pr4Sm2Tm5 after structural relaxation.

Computed properties:
* N(E_F): 17.1 states/eV/cell
* mass density: 7.6 g cm⁻³

abc: 3.539 8.688 14.523
angles: 122.79 97.00 90.00
Sites, in units of the cell vectors:
Pr 0.590 0.482 0.180
Pr 0.042 0.744 0.083
Pr 0.410 0.518 0.820
Pr 0.958 0.256 0.917
Sm 0.725 0.624 0.451
Sm 0.275 0.376 0.549
Tm 0.188 0.903 0.376
Tm 0.812 0.097 0.624
Tm 0.131 0.214 0.262
Tm 0.500 0.000 0.000
Tm 0.869 0.786 0.738

---

Referenced to the most stable arrangement, the calculated values in eV/atom are <a> 0.000; <b> 0.022.